# 1
KZnInSe3 | PBE | optimized geometry

Values from the calculation:
* total magnetization: 0.0 Bohr magnetons per cell
* formation energy (no corrections): -0.794 eV/atom
* V: 346 Å³/cell

a b c (Å): 9.1335 4.0084 9.8595
angles (deg): 90.00 106.29 90.00
Closest atoms and distances in Å follow each position.
Space group P2_1/m (No. 11)
One atom of each set of equivalent atoms:
K  0.2014  0.2500  0.2411 x2  7 Se 3.40-3.59
Zn  0.0854  0.2500  0.6037 x2  4 Se 2.49-2.56
In  0.3412  0.7500  0.8826 x2  5 Se 2.71-2.78
Se  0.1281  0.2500  0.8640 x2  1 Zn 2.49, 2 In 2.76
Se  0.2010  0.7500  0.5228 x2  3 Zn 2.50-2.56
Se  0.4692  0.7500  0.1666 x2  3 In 2.71-2.78

# 2
KZn2InSe4 | PBE | optimized geometry

Values from the calculation:
* total magnetization: 0.0 Bohr magnetons per cell
* formation energy (no corrections): -0.662 eV/atom
* V: 474 Å³/cell

a b c (Å): 6.7030 7.8879 8.9627
angles (deg): 90.00 90.00 90.00
Closest atoms and distances in Å follow each position.
Space group I222 (No. 23)
One atom of each set of equivalent atoms:
K  0.0000  0.0000  0.0000 x2  8 Se 3.41-3.66
Zn  0.0000  0.5000  0.1793 x4  2 Se 2.32
In  0.0000  0.0000  0.5000 x2  4 Se 2.63
Se  0.2323  0.1869  0.3304 x8  1 Zn 2.32

# 3
KZnIn2Se4 | PBE | optimized geometry

Values from the calculation:
* total magnetization: 0.0 Bohr magnetons per cell
* formation energy (no corrections): -0.633 eV/atom
* V: 502 Å³/cell

a b c (Å): 6.8161 6.8161 10.7965
angles (deg): 90.00 90.00 90.00
Closest atoms and distances in Å follow each position.
Space group I-42m (No. 121)
One atom of each set of equivalent atoms:
K  0.0000  0.0000  0.0000 x2  4 Se 3.15
Zn  0.0000  0.0000  0.5000 x2  4 Se 2.48
In  0.0000  0.5000  0.2500 x4  4 Se 2.75
Se  0.2095  0.2095  0.3669 x8  1 Zn 2.48, 2 In 2.75

# 4
K2ZrInSe5 | PBE | optimized geometry

Values from the calculation:
* total magnetization: 0.9 Bohr magnetons per cell
* formation energy (no corrections): -0.988 eV/atom
* V: 1118 Å³/cell

a b c (Å): 3.9407 19.7409 14.3772
angles (deg): 90.00 90.00 90.00
Closest atoms and distances in Å follow each position.
Space group Cmc2_1 (No. 36)
One atom of each set of equivalent atoms:
K  0.0000  0.1208  0.0000 x4  5 Se 3.34-3.44
K  0.0000  0.1388  0.6278 x4  7 Se 3.37-3.47
Zr  0.0000  0.2159  0.3324 x4  5 Se 2.54-2.80
In  0.0000  0.4399  0.7473 x4  4 Se 2.53-2.72
Se  0.0000  0.0648  0.3664 x4  2 In 2.61
Se  0.0000  0.2922  0.9581 x4  2 Zr 2.68
Se  0.0000  0.3068  0.6980 x4  1 In 2.72, 2 Zr 2.80
Se  0.0000  0.3441  0.3188 x4  1 Zr 2.54
Se  0.0000  0.4975  0.0935 x4  1 In 2.53

# 5
KIn2Si | PBE | optimized geometry

Values from the calculation:
* total magnetization: 0.0 Bohr magnetons per cell
* formation energy (no corrections): 0.105 eV/atom
* V: 116 Å³/cell

a b c (Å): 3.6421 3.9895 7.9654
angles (deg): 90.00 90.00 90.00
Closest atoms and distances in Å follow each position.
Space group Pmm2 (No. 25)
One atom of each set of equivalent atoms:
K  0.0000  0.0000  0.0000 x1  5 In 3.49-3.75, 2 K 3.64, 4 Si 3.69
In  0.0000  0.0000  0.4385 x1  4 Si 2.87
In  0.5000  0.5000  0.6741 x1  1 Si 2.85
Si  0.5000  0.5000  0.3164 x1  5 In 2.85-2.87

# 6
KInSi | PBE | optimized geometry

Values from the calculation:
* total magnetization: 0.0 Bohr magnetons per cell
* formation energy (no corrections): 0.201 eV/atom
* V: 200 Å³/cell

a b c (Å): 7.5335 6.0417 4.4034
angles (deg): 90.00 90.00 90.00
Closest atoms and distances in Å follow each position.
Space group Pmma (No. 51)
One atom of each set of equivalent atoms:
K  0.2500  0.0000  0.2494 x2  2 Si 3.39, 4 In 3.73
In  0.0000  0.5000  0.0000 x2  2 Si 2.58
Si  0.2500  0.5000  0.6005 x2  2 In 2.58

Question: Which value of total magnetization does entry 2 give?
Answer: 0.0 Bohr magnetons per cell

Question: Look up the V of the fifth one.
Answer: 116 Å³/cell

Question: The lowest V belongs to which entry?
Answer: KIn2Si